No. 1
Computed, not measured: crystalline CaNi2Os at its relaxed geometry at the PBE level of DFT.

* calculated formation energy: 78 kJ/mol of formula units
* volume: 15.54 Å³ per atom
* polymorph energy (0 for the lowest one): 0 meV per atom
* spin magnetization: 0.0 μB per formula unit
* final energy: -23.98 eV per cell

Lattice parameters (Å, degrees): 2.689 3.669 6.301 90.00 90.00 90.00
Positions (direct):
Ca  0.000  0.000  0.000
Ni  0.500  0.500  0.310
Ni  0.500  0.500  0.690
Os  0.000  0.000  0.500

***

No. 2
Computed, not measured: crystalline CaNiOs2 at its relaxed geometry at the PBE level of DFT.

* calculated formation energy: 264 kJ/mol of formula units
* volume: 16.03 Å³ per atom
* polymorph energy (0 for the lowest one): 396 meV per atom
* spin magnetization: 0.1 μB per formula unit
* final energy: -27.51 eV per cell

Lattice parameters (Å, degrees): 5.236 5.236 5.236 137.76 137.76 61.27
Positions (direct):
Ca  0.000  0.000  0.000
Ni  0.500  0.500  0.000
Os  0.250  0.750  0.500
Os  0.750  0.250  0.500

***

No. 3
Computed, not measured: crystalline CaNi2Os at its relaxed geometry at the PBE level of DFT.

* calculated formation energy: 102 kJ/mol of formula units
* volume: 14.57 Å³ per atom
* polymorph energy (0 for the lowest one): 60 meV per atom
* spin magnetization: 0.0 μB per formula unit
* final energy: -23.74 eV per cell

Lattice parameters (Å, degrees): 5.016 5.016 4.721 105.89 105.89 30.78
Positions (direct):
Ca  0.000  0.000  0.000
Ni  0.476  0.476  0.500
Ni  0.763  0.763  0.171
Os  0.217  0.217  0.617

***

Q: Which value of calculated formation energy does entry 1 give?
A: 78 kJ/mol of formula units